VASP calculation (meta-GGA SCAN) on a PBEsol-optimized structure of Cd3GaW.

abc: 5.227 5.227 5.227
angles: 90.00 90.00 90.00
Sites, in units of the cell vectors:
Ga 0.500 0.500 0.500
W 0.000 0.000 0.000
Cd 0.000 0.500 0.000
Cd 0.000 0.000 0.500
Cd 0.500 0.000 0.000

Energy relative to the elements (eV per formula unit): 6.6
V (Å³ per cell): 142.82
Density of states at the Fermi level (states/eV/f.u.): 4.52
M_tot (μB per formula unit): 1.95


VASP calculation (meta-GGA SCAN) on a PBEsol-optimized structure of V3O7.

abc: 9.416 10.738 10.738
angles: 120.00 90.00 90.00
Sites, in units of the cell vectors:
V 0.709 0.689 0.803
V 0.352 0.683 0.841
V 0.994 0.689 0.886
V 0.994 0.197 0.311
V 0.352 0.159 0.317
V 0.709 0.114 0.311
V 0.209 0.886 0.197
V 0.852 0.841 0.159
V 0.709 0.197 0.886
V 0.494 0.803 0.114
V 0.352 0.159 0.841
V 0.994 0.114 0.803
V 0.494 0.886 0.689
V 0.852 0.841 0.683
V 0.209 0.803 0.689
V 0.209 0.311 0.114
V 0.852 0.317 0.159
V 0.494 0.311 0.197
O 0.164 0.746 0.824
O 0.899 0.712 0.745
O 0.539 0.746 0.921
O 0.805 0.712 0.967
O 0.670 0.530 0.688
O 0.352 0.514 0.757
O 0.805 0.255 0.288
O 0.034 0.530 0.842
O 0.034 0.312 0.470
O 0.539 0.176 0.254
O 0.352 0.243 0.486
O 0.164 0.079 0.254
O 0.670 0.158 0.470
O 0.670 0.312 0.842
O 0.899 0.033 0.288
O 0.352 0.243 0.757
O 0.664 0.921 0.176
O 0.399 0.967 0.255
O 0.034 0.158 0.688
O 0.039 0.824 0.079
O 0.899 0.255 0.967
O 0.305 0.745 0.033
O 0.164 0.176 0.921
O 0.170 0.842 0.312
O 0.805 0.033 0.745
O 0.539 0.079 0.824
O 0.852 0.757 0.243
O 0.305 0.967 0.712
O 0.534 0.688 0.158
O 0.534 0.842 0.530
O 0.039 0.921 0.746
O 0.852 0.757 0.514
O 0.664 0.824 0.746
O 0.170 0.688 0.530
O 0.170 0.470 0.158
O 0.399 0.745 0.712
O 0.852 0.486 0.243
O 0.534 0.470 0.312
O 0.399 0.288 0.033
O 0.664 0.254 0.079
O 0.305 0.288 0.255
O 0.039 0.254 0.176

V (Å³ per cell): 940.22
Density of states at the Fermi level (states/eV/f.u.): 1.50
M_tot (μB per formula unit): 1.00
Relative energy among the computed polymorphs (meV per atom): 116.1
Formation energy without anion corrections (meV/atom): -2422


VASP calculation (meta-GGA SCAN) on a PBEsol-optimized structure of YMg2Al.

abc: 3.315 5.424 5.588
angles: 103.18 90.00 107.79
Sites, in units of the cell vectors:
Al 0.739 0.478 0.248
Mg 0.013 0.026 0.993
Mg 0.259 0.518 0.783
Y 0.489 0.978 0.476

Energy relative to the elements (eV per formula unit): -0.1
V (Å³ per cell): 92.88
Density of states at the Fermi level (states/eV/f.u.): 2.30
M_tot (μB per formula unit): 0.00


VASP calculation (meta-GGA SCAN) on a PBEsol-optimized structure of BeRe2Mo.

abc: 3.062 3.062 5.689
angles: 90.00 90.00 90.00
Sites, in units of the cell vectors:
Re 0.000 0.000 0.000
Re 0.500 0.500 0.283
Mo 0.500 0.500 0.727
Be 0.000 0.000 0.490

Energy relative to the elements (eV per formula unit): 0.1
V (Å³ per cell): 53.36
Density of states at the Fermi level (states/eV/f.u.): 2.58
M_tot (μB per formula unit): 0.00


VASP calculation (meta-GGA SCAN) on a PBEsol-optimized structure of Cu2Te.

abc: 4.077 7.114 7.256
angles: 90.00 90.00 90.00
Sites, in units of the cell vectors:
Cu 0.750 0.872 0.234
Cu 0.250 0.628 0.734
Cu 0.750 0.372 0.266
Cu 0.250 0.128 0.766
Cu 0.750 0.932 0.903
Cu 0.250 0.568 0.403
Cu 0.750 0.432 0.597
Cu 0.250 0.068 0.097
Te 0.750 0.294 0.923
Te 0.250 0.206 0.423
Te 0.750 0.794 0.577
Te 0.250 0.706 0.077

V (Å³ per cell): 210.45
Density of states at the Fermi level (states/eV/f.u.): 0.33
M_tot (μB per formula unit): 0.00
Formation energy without anion corrections (meV/atom): 39


VASP calculation (meta-GGA SCAN) on a PBEsol-optimized structure of CrFeCoTe2.

abc: 4.304 4.889 4.889
angles: 90.00 90.00 90.00
Sites, in units of the cell vectors:
Cr 0.500 0.000 0.000
Te 0.000 0.000 0.500
Te 0.000 0.500 0.000
Co 0.000 0.000 0.000
Fe 0.500 0.500 0.500

V (Å³ per cell): 102.86
Density of states at the Fermi level (states/eV/f.u.): 4.91
M_tot (μB per formula unit): 6.45
Formation energy without anion corrections (meV/atom): 834


VASP calculation (meta-GGA SCAN) on a PBEsol-optimized structure of Ga2Cu2Ag.

abc: 2.724 7.205 7.205
angles: 90.00 90.00 90.00
Sites, in units of the cell vectors:
Cu 0.500 0.174 0.674
Cu 0.500 0.674 0.826
Cu 0.500 0.826 0.326
Cu 0.500 0.326 0.174
Ga 0.000 0.373 0.873
Ga 0.000 0.873 0.627
Ga 0.000 0.627 0.127
Ga 0.000 0.127 0.373
Ag 0.000 0.000 0.000
Ag 0.000 0.500 0.500

Energy relative to the elements (eV per formula unit): -0.1
V (Å³ per cell): 141.39
Density of states at the Fermi level (states/eV/f.u.): 0.87
M_tot (μB per formula unit): 0.00
Relative energy among the computed polymorphs (meV per atom): 0.0


VASP calculation (meta-GGA SCAN) on a PBEsol-optimized structure of Ba3CoSb2O9.

abc: 5.835 5.835 14.470
angles: 90.00 90.00 120.00
Sites, in units of the cell vectors:
Ba 0.000 0.000 0.750
Ba 0.000 0.000 0.250
Ba 0.333 0.667 0.913
Ba 0.333 0.667 0.587
Ba 0.667 0.333 0.413
Ba 0.667 0.333 0.087
Co 0.000 0.000 0.500
Co 0.000 0.000 0.000
Sb 0.667 0.333 0.651
Sb 0.333 0.667 0.349
Sb 0.333 0.667 0.151
Sb 0.667 0.333 0.849
O 0.483 0.517 0.250
O 0.517 0.483 0.750
O 0.033 0.517 0.250
O 0.967 0.483 0.750
O 0.517 0.033 0.750
O 0.483 0.967 0.250
O 0.167 0.833 0.416
O 0.833 0.167 0.916
O 0.167 0.333 0.084
O 0.333 0.167 0.916
O 0.667 0.833 0.416
O 0.667 0.833 0.084
O 0.833 0.667 0.916
O 0.833 0.167 0.584
O 0.333 0.167 0.584
O 0.167 0.333 0.416
O 0.833 0.667 0.584
O 0.167 0.833 0.084

V (Å³ per cell): 426.65
M_tot (μB per formula unit): 3.00
Formation energy without anion corrections (meV/atom): -2250


VASP calculation (meta-GGA SCAN) on a PBEsol-optimized structure of Na3FeO4.

abc: 5.463 5.997 7.158
angles: 92.77 90.00 90.00
Sites, in units of the cell vectors:
Na 0.517 0.858 0.256
Na 0.017 0.142 0.744
Na 0.001 0.676 0.012
Na 0.501 0.324 0.988
Na 0.521 0.328 0.504
Na 0.021 0.672 0.496
Fe 0.001 0.180 0.248
Fe 0.501 0.820 0.752
O 0.097 0.910 0.265
O 0.597 0.090 0.735
O 0.692 0.201 0.235
O 0.192 0.799 0.765
O 0.080 0.306 0.046
O 0.580 0.694 0.954
O 0.606 0.703 0.543
O 0.106 0.297 0.457

V (Å³ per cell): 234.24
M_tot (μB per formula unit): 3.00
Formation energy without anion corrections (meV/atom): -1594


VASP calculation (meta-GGA SCAN) on a PBEsol-optimized structure of Sc2GaH2.

abc: 3.338 3.338 6.060
angles: 105.99 105.99 90.00
Sites, in units of the cell vectors:
Sc 0.352 0.352 0.703
Sc 0.648 0.648 0.297
H 0.250 0.750 0.500
H 0.750 0.250 0.500
Ga 0.000 0.000 0.000

V (Å³ per cell): 62.21
Density of states at the Fermi level (states/eV/f.u.): 1.16
M_tot (μB per formula unit): 0.00
VASP energy (eV/atom): -11.115


VASP calculation (meta-GGA SCAN) on a PBEsol-optimized structure of Sr2CaAu.

abc: 3.833 3.833 9.723
angles: 90.00 90.00 90.00
Sites, in units of the cell vectors:
Sr 0.000 0.000 0.316
Sr 0.000 0.000 0.684
Ca 0.500 0.500 0.000
Au 0.500 0.500 0.500

Energy relative to the elements (eV per formula unit): -1.9
V (Å³ per cell): 142.83
Density of states at the Fermi level (states/eV/f.u.): 3.13
M_tot (μB per formula unit): 0.19
Relative energy among the computed polymorphs (meV per atom): 4.4


VASP calculation (meta-GGA SCAN) on a PBEsol-optimized structure of ScAg2As.

abc: 3.034 3.034 9.294
angles: 80.61 80.61 60.00
Sites, in units of the cell vectors:
Ag 0.001 0.001 0.998
Ag 0.750 0.750 0.751
As 0.501 0.501 0.496
Sc 0.248 0.248 0.255

Energy relative to the elements (eV per formula unit): -0.3
V (Å³ per cell): 72.75
Density of states at the Fermi level (states/eV/f.u.): 2.15
M_tot (μB per formula unit): 0.00


> Which value of M_tot does entry 12 give?

0.00 μB per formula unit